Entry 1:
# CsK3Br GGA-PBE optimized geometry
data_CsK3Br
_chemical_formula_sum 'Cs1 K3 Br1'
_cell_length_a 6.914
_cell_length_b 6.914
_cell_length_c 6.914
_cell_angle_alpha 90.00
_cell_angle_beta 90.00
_cell_angle_gamma 90.00
_symmetry_space_group_name_H-M 'P m -3 m'
_symmetry_Int_Tables_number 221
_symmetry_space_group_name_Hall '-P 4 2 3'
loop_
_atom_site_label
_atom_site_type_symbol
_atom_site_fract_x
_atom_site_fract_y
_atom_site_fract_z
_atom_site_occupancy
Cs1 Cs 0.000 0.000 0.000 1
K1 K 0.000 0.500 0.500 1
Br1 Br 0.500 0.500 0.500 1
# E, eV per atom: -1.7565
# Energy above the most stable polymorph in this dataset, eV/f.u.: 0.00

=====

Entry 2:
# CsKBr2 GGA-PBE optimized geometry
data_CsKBr2
_chemical_formula_sum 'Cs3 K3 Br6'
_cell_length_a 5.4765
_cell_length_b 5.4765
_cell_length_c 29.6149
_cell_angle_alpha 90.00
_cell_angle_beta 90.00
_cell_angle_gamma 120.00
_symmetry_space_group_name_H-M 'R -3 m'
_symmetry_Int_Tables_number 166
_symmetry_space_group_name_Hall '-R 3 2"'
loop_
_atom_site_label
_atom_site_type_symbol
_atom_site_fract_x
_atom_site_fract_y
_atom_site_fract_z
_atom_site_occupancy
Cs1 Cs 0.0000 0.0000 0.0000 1
K1 K 0.0000 0.0000 0.5000 1
Br1 Br 0.0000 0.0000 0.3988 1
# E, eV per atom: -2.8619
# Energy above the most stable polymorph in this dataset, eV/f.u.: 0.87

=====

Entry 3:
# CsKBr2 GGA-PBE optimized geometry
data_CsKBr2
_chemical_formula_sum 'Cs1 K1 Br2'
_cell_length_a 4.201
_cell_length_b 4.201
_cell_length_c 8.488
_cell_angle_alpha 90.00
_cell_angle_beta 90.00
_cell_angle_gamma 90.00
_symmetry_space_group_name_H-M 'P 4/m m m'
_symmetry_Int_Tables_number 123
_symmetry_space_group_name_Hall '-P 4 2'
loop_
_atom_site_label
_atom_site_type_symbol
_atom_site_fract_x
_atom_site_fract_y
_atom_site_fract_z
_atom_site_occupancy
Cs1 Cs 0.000 0.000 0.000 1
K1 K 0.000 0.000 0.500 1
Br1 Br 0.500 0.500 0.267 1
# E, eV per atom: -3.0241
# Energy above the most stable polymorph in this dataset, eV/f.u.: 0.23

=====

Entry 4:
# CsK2Br2 GGA-PBE optimized geometry
data_CsK2Br2
_chemical_formula_sum 'Cs2 K4 Br4'
_cell_length_a 6.283
_cell_length_b 6.283
_cell_length_c 17.900
_cell_angle_alpha 90.00
_cell_angle_beta 90.00
_cell_angle_gamma 90.00
_symmetry_space_group_name_H-M 'I 4/m m m'
_symmetry_Int_Tables_number 139
_symmetry_space_group_name_Hall '-I 4 2'
loop_
_atom_site_label
_atom_site_type_symbol
_atom_site_fract_x
_atom_site_fract_y
_atom_site_fract_z
_atom_site_occupancy
Cs1 Cs 0.000 0.000 0.000 1
K1 K 0.000 0.500 0.250 1
Br1 Br 0.000 0.000 0.201 1
# E, eV per atom: -2.5826
# Energy above the most stable polymorph in this dataset, eV/f.u.: 0.00

=====

Entry 5:
# Cs4KBr5 GGA-PBE optimized geometry
data_Cs4KBr5
_chemical_formula_sum 'Cs8 K2 Br10'
_cell_length_a 11.459
_cell_length_b 11.459
_cell_length_c 7.272
_cell_angle_alpha 90.00
_cell_angle_beta 90.00
_cell_angle_gamma 90.00
_symmetry_space_group_name_H-M 'I 4'
_symmetry_Int_Tables_number 79
_symmetry_space_group_name_Hall 'I 4'
loop_
_atom_site_label
_atom_site_type_symbol
_atom_site_fract_x
_atom_site_fract_y
_atom_site_fract_z
_atom_site_occupancy
Cs1 Cs 0.097 0.299 0.000 1
K1 K 0.000 0.000 0.499 1
Br1 Br 0.000 0.000 0.002 1
Br2 Br 0.094 0.285 0.500 1
# E, eV per atom: -3.0560
# Energy above the most stable polymorph in this dataset, eV/f.u.: 0.00

=====

Entry 6:
# Cs2K2Br GGA-PBE optimized geometry
data_Cs2K2Br
_chemical_formula_sum 'Cs4 K4 Br2'
_cell_length_a 9.279
_cell_length_b 9.279
_cell_length_c 8.808
_cell_angle_alpha 90.00
_cell_angle_beta 90.00
_cell_angle_gamma 90.00
_symmetry_space_group_name_H-M 'P 4/m b m'
_symmetry_Int_Tables_number 127
_symmetry_space_group_name_Hall '-P 4 2ab'
loop_
_atom_site_label
_atom_site_type_symbol
_atom_site_fract_x
_atom_site_fract_y
_atom_site_fract_z
_atom_site_occupancy
Cs1 Cs 0.180 0.320 0.000 1
K1 K 0.185 0.685 0.500 1
Br1 Br 0.000 0.000 0.500 1
# E, eV per atom: -1.6458
# Energy above the most stable polymorph in this dataset, eV/f.u.: 0.21

=====

Entry 7:
# CsKBr2 GGA-PBE optimized geometry
data_CsKBr2
_chemical_formula_sum 'Cs4 K4 Br8'
_cell_length_a 8.476
_cell_length_b 8.476
_cell_length_c 8.476
_cell_angle_alpha 90.00
_cell_angle_beta 90.00
_cell_angle_gamma 90.00
_symmetry_space_group_name_H-M 'F m -3 m'
_symmetry_Int_Tables_number 225
_symmetry_space_group_name_Hall '-F 4 2 3'
loop_
_atom_site_label
_atom_site_type_symbol
_atom_site_fract_x
_atom_site_fract_y
_atom_site_fract_z
_atom_site_occupancy
Cs1 Cs 0.000 0.000 0.000 1
K1 K 0.000 0.000 0.500 1
Br1 Br 0.250 0.250 0.250 1
# E, eV per atom: -3.0135
# Energy above the most stable polymorph in this dataset, eV/f.u.: 0.27

=====

Entry 8:
# CsK2Br3 GGA-PBE optimized geometry
data_CsK2Br3
_chemical_formula_sum 'Cs2 K4 Br6'
_cell_length_a 4.945
_cell_length_b 4.945
_cell_length_c 20.743
_cell_angle_alpha 90.00
_cell_angle_beta 90.00
_cell_angle_gamma 90.00
_symmetry_space_group_name_H-M 'I 4/m m m'
_symmetry_Int_Tables_number 139
_symmetry_space_group_name_Hall '-I 4 2'
loop_
_atom_site_label
_atom_site_type_symbol
_atom_site_fract_x
_atom_site_fract_y
_atom_site_fract_z
_atom_site_occupancy
Cs1 Cs 0.000 0.000 0.000 1
K1 K 0.000 0.000 0.331 1
Br1 Br 0.000 0.000 0.173 1
Br2 Br 0.000 0.000 0.500 1
# E, eV per atom: -3.0811
# Energy above the most stable polymorph in this dataset, eV/f.u.: 0.05

=====

Entry 9:
# CsKBr GGA-PBE optimized geometry
data_CsKBr
_chemical_formula_sum 'Cs1 K1 Br1'
_cell_length_a 4.9585
_cell_length_b 4.9585
_cell_length_c 8.5777
_cell_angle_alpha 90.00
_cell_angle_beta 90.00
_cell_angle_gamma 120.00
_symmetry_space_group_name_H-M 'P 3 m 1'
_symmetry_Int_Tables_number 156
_symmetry_space_group_name_Hall 'P 3 -2"'
loop_
_atom_site_label
_atom_site_type_symbol
_atom_site_fract_x
_atom_site_fract_y
_atom_site_fract_z
_atom_site_occupancy
Cs1 Cs 0.0000 0.0000 0.0000 1
K1 K 0.3333 0.6667 0.4845 1
Br1 Br 0.6667 0.3333 0.2680 1
# E, eV per atom: -2.3216
# Energy above the most stable polymorph in this dataset, eV/f.u.: 0.13

=====

Entry 10:
# CsKBr2 GGA-PBE optimized geometry
data_CsKBr2
_chemical_formula_sum 'Cs3 K3 Br6'
_cell_length_a 4.8653
_cell_length_b 4.8653
_cell_length_c 25.3580
_cell_angle_alpha 90.00
_cell_angle_beta 90.00
_cell_angle_gamma 120.00
_symmetry_space_group_name_H-M 'R 3 m'
_symmetry_Int_Tables_number 160
_symmetry_space_group_name_Hall 'R 3 -2"'
loop_
_atom_site_label
_atom_site_type_symbol
_atom_site_fract_x
_atom_site_fract_y
_atom_site_fract_z
_atom_site_occupancy
Cs1 Cs 0.0000 0.0000 0.0000 1
K1 K 0.0000 0.0000 0.8304 1
Br1 Br 0.0000 0.0000 0.2401 1
Br2 Br 0.0000 0.0000 0.4235 1
# E, eV per atom: -3.0639
# Energy above the most stable polymorph in this dataset, eV/f.u.: 0.07

=====

Entry 11:
# Cs2K2Br GGA-PBE optimized geometry
data_Cs2K2Br
_chemical_formula_sum 'Cs4 K4 Br2'
_cell_length_a 9.630
_cell_length_b 9.630
_cell_length_c 8.819
_cell_angle_alpha 90.00
_cell_angle_beta 90.00
_cell_angle_gamma 90.00
_symmetry_space_group_name_H-M 'P 4/m b m'
_symmetry_Int_Tables_number 127
_symmetry_space_group_name_Hall '-P 4 2ab'
loop_
_atom_site_label
_atom_site_type_symbol
_atom_site_fract_x
_atom_site_fract_y
_atom_site_fract_z
_atom_site_occupancy
Cs1 Cs 0.187 0.313 0.000 1
K1 K 0.162 0.662 0.500 1
Br1 Br 0.000 0.000 0.000 1
# E, eV per atom: -1.6880
# Energy above the most stable polymorph in this dataset, eV/f.u.: 0.00

=====

Entry 12:
# Cs2K4Br5 GGA-PBE optimized geometry
data_Cs2K4Br5
_chemical_formula_sum 'Cs6 K12 Br15'
_cell_length_a 5.0976
_cell_length_b 5.0976
_cell_length_c 77.5863
_cell_angle_alpha 90.00
_cell_angle_beta 90.00
_cell_angle_gamma 120.00
_symmetry_space_group_name_H-M 'R -3 m'
_symmetry_Int_Tables_number 166
_symmetry_space_group_name_Hall '-R 3 2"'
loop_
_atom_site_label
_atom_site_type_symbol
_atom_site_fract_x
_atom_site_fract_y
_atom_site_fract_z
_atom_site_occupancy
Cs1 Cs 0.0000 0.0000 0.1385 1
K1 K 0.0000 0.0000 0.3037 1
K2 K 0.0000 0.0000 0.4210 1
Br1 Br 0.0000 0.0000 0.2250 1
Br2 Br 0.0000 0.0000 0.3808 1
Br3 Br 0.0000 0.0000 0.5000 1
# E, eV per atom: -2.8376

=====

Q: Look up the E of the twelfth one.
A: -2.8376 eV per atom

=====

Q: What is the formula in the ninth record?
A: CsKBr

=====

Q: What is the formula in the sixth record?
A: Cs2K2Br